Entry from Alexandria: crystalline LaTmPdRh at its relaxed geometry (GGA-PBE).

```
data_LaTmPdRh
_chemical_formula_sum 'La4 Tm4 Pd4 Rh4'
_cell_length_a 7.0705
_cell_length_b 7.0705
_cell_length_c 7.0705
_cell_angle_alpha 90.00
_cell_angle_beta 90.00
_cell_angle_gamma 90.00
_symmetry_space_group_name_H-M 'F -4 3 m'
_symmetry_Int_Tables_number 216
_symmetry_space_group_name_Hall 'F -4 2 3'
loop_
_atom_site_label
_atom_site_type_symbol
_atom_site_fract_x
_atom_site_fract_y
_atom_site_fract_z
_atom_site_occupancy
La1 La 0.0000 0.0000 0.0000 1
Tm1 Tm 0.0000 0.0000 0.5000 1
Pd1 Pd 0.2500 0.2500 0.7500 1
Rh1 Rh 0.2500 0.2500 0.2500 1
```

The formation enthalpy at 0 K is -76 kJ/mol of atoms. The density of states at the Fermi level comes out at 0.712 states/eV/atom.